## OsN (PBEsol)

Data for an optimized crystal structure of OsN.

extended XYZ file:
```
2
Lattice="3.2222 0.0000 0.0000 1.6111 2.7905 0.0000 1.6111 0.9302 2.6309" Properties=species:S:1:pos:R:3 pbc="T T T"
Os 0.0000 0.0000 0.0000
N 4.8334 2.7905 1.9732
```

- Total DFT energy (no corrections): -9.801 eV/atom
- Space-group type: F-43m, No. 216
- N(E_F): 2.00 states/eV per cell
- E_form (uncorrected): 570.4 meV per atom
- Relative energy among the computed polymorphs: 7.8 kJ per mole of atoms

=====

## OsN (PBEsol)

Data for an optimized crystal structure of OsN.

extended XYZ file:
```
4
Lattice="2.6649 0.0000 0.0000 0.0000 2.6649 0.0000 0.0000 0.0000 6.1279" Properties=species:S:1:pos:R:3 pbc="T T T"
Os 1.3324 0.0000 3.0639
Os 0.0000 1.3324 0.0000
N 0.0000 0.0000 4.5959
N 0.0000 0.0000 1.5320
```

- Total DFT energy (no corrections): -9.881 eV/atom
- Space-group type: P4_2/mmc, No. 131
- N(E_F): 2.59 states/eV per cell
- E_form (uncorrected): 489.9 meV per atom
- Relative energy among the computed polymorphs: 0.0 kJ per mole of atoms

=====

## OsN2 (PBEsol)

Data for an optimized crystal structure of OsN2.

extended XYZ file:
```
3
Lattice="3.4151 0.0000 0.0000 1.7075 2.9575 0.0000 1.7075 0.9858 2.7884" Properties=species:S:1:pos:R:3 pbc="T T T"
Os 0.0000 0.0000 0.0000
N 5.1226 2.9575 2.0913
N 1.7075 0.9858 0.6971
```

- Total DFT energy (no corrections): -8.908 eV/atom
- Space-group type: Fm-3m, No. 225
- N(E_F): 1.76 states/eV per cell
- E_form (uncorrected): 848.5 meV per atom
- Relative energy among the computed polymorphs: 64.6 kJ per mole of atoms

=====

## OsN2 (PBEsol)

Data for an optimized crystal structure of OsN2.

extended XYZ file:
```
3
Lattice="2.7906 0.0000 0.0000 -1.3953 2.4168 0.0000 0.0000 0.0000 4.9288" Properties=species:S:1:pos:R:3 pbc="T T T"
Os 0.0000 0.0000 0.0000
N 0.0000 0.0000 3.0408
N 0.0000 0.0000 1.8879
```

- Total DFT energy (no corrections): -9.578 eV/atom
- Space-group type: P6/mmm, No. 191
- N(E_F): 1.28 states/eV per cell
- E_form (uncorrected): 178.9 meV per atom
- Relative energy among the computed polymorphs: 0.0 kJ per mole of atoms